Record 1
Below is crystalline Ta2InSe4 at its relaxed geometry, with properties calculated at the GGA-PBE level.

a = 7.5805 Å, b = 7.5805 Å, c = 7.8690 Å
α = 118.43°, β = 118.43°, γ = 60.13°
Sites, in units of the cell vectors:
Ta 0.0000 0.0000 0.0000
Ta 0.9998 0.6219 0.9981
Ta 0.0345 0.0345 0.4431
Ta 0.6219 0.9998 0.9981
In 0.3951 0.3951 0.5464
In 0.5602 0.5602 0.0020
Se 0.2581 0.2581 0.1529
Se 0.2663 0.8328 0.7365
Se 0.2760 0.2760 0.7450
Se 0.2985 0.7857 0.2545
Se 0.7742 0.7742 0.7000
Se 0.7857 0.2985 0.2545
Se 0.8093 0.8093 0.2798
Se 0.8328 0.2663 0.7365

Values from the calculation:
Mass density in g/cm3: 8.04
DOS at the Fermi energy in states/eV/atom: 0.1014
Formation energy without anion corrections in eV/atom: -0.53
Total energy in eV per formula unit: -44.1
Space-group type: Cm (8)
Total magnetic moment in μB per formula unit: 0.0


Record 2
Below is crystalline LiNb2GaH at its relaxed geometry, with properties calculated at the GGA-PBE level.

a = 3.9833 Å, b = 3.9833 Å, c = 4.2470 Å
α = 90.00°, β = 90.00°, γ = 90.00°
Sites, in units of the cell vectors:
Li 0.0000 0.0000 0.0000
Nb 0.0000 0.5000 0.5000
Nb 0.5000 0.0000 0.5000
Ga 0.5000 0.5000 0.0000
H 0.0000 0.0000 0.5000

Values from the calculation:
Mass density in g/cm3: 6.49
DOS at the Fermi energy in states/eV/atom: 0.3381
Total energy in eV per formula unit: -29.3
Space-group type: P4/mmm (123)
Total magnetic moment in μB per formula unit: 0.0


Record 3
Below is crystalline Li3Nd2HfS6 at its relaxed geometry, with properties calculated at the GGA-PBE level.

a = 6.7926 Å, b = 6.7926 Å, c = 6.5763 Å
α = 99.51°, β = 99.51°, γ = 120.35°
Sites, in units of the cell vectors:
Li 0.0000 0.0000 0.0000
Li 0.3508 0.6492 0.0000
Li 0.6492 0.3508 0.0000
Nd 0.1686 0.8314 0.5000
Nd 0.8314 0.1686 0.5000
Hf 0.5000 0.5000 0.5000
S 0.1121 0.4163 0.2450
S 0.2713 0.2713 0.7477
S 0.4163 0.1121 0.2450
S 0.5837 0.8879 0.7550
S 0.7287 0.7287 0.2523
S 0.8879 0.5837 0.7550

Values from the calculation:
Mass density in g/cm3: 4.57
DOS at the Fermi energy in states/eV/atom: 0.2888
Formation energy without anion corrections in eV/atom: -1.67
Total energy in eV per formula unit: -70.0
Space-group type: C2/m (12)
Total magnetic moment in μB per formula unit: 0.0


Record 4
Below is crystalline CaTb4Nd15 at its relaxed geometry, with properties calculated at the GGA-PBE level.

a = 5.1908 Å, b = 5.1908 Å, c = 25.8377 Å
α = 90.00°, β = 90.00°, γ = 90.00°
Sites, in units of the cell vectors:
Ca 0.0000 0.0000 0.0000
Tb 0.0000 0.0000 0.2012
Tb 0.0000 0.0000 0.4006
Tb 0.0000 0.0000 0.5994
Tb 0.0000 0.0000 0.7988
Nd 0.0000 0.5000 0.1036
Nd 0.0000 0.5000 0.3013
Nd 0.0000 0.5000 0.5000
Nd 0.0000 0.5000 0.6987
Nd 0.0000 0.5000 0.8964
Nd 0.5000 0.0000 0.1036
Nd 0.5000 0.0000 0.3013
Nd 0.5000 0.0000 0.5000
Nd 0.5000 0.0000 0.6987
Nd 0.5000 0.0000 0.8964
Nd 0.5000 0.5000 0.0000
Nd 0.5000 0.5000 0.2011
Nd 0.5000 0.5000 0.4001
Nd 0.5000 0.5000 0.5999
Nd 0.5000 0.5000 0.7989

Values from the calculation:
Mass density in g/cm3: 6.77
DOS at the Fermi energy in states/eV/atom: 1.4730
Total energy in eV per formula unit: -91.6
Space-group type: P4/mmm (123)
Total magnetic moment in μB per formula unit: 0.0